No. 1
This record from the Alexandria database describes a relaxed HfBr crystal. The functional is PBE-GGA.

```
4
Lattice="-1.533 0.953 2.824 -1.795 -2.883 -0.001 7.048 -4.398 5.309" Properties=species:S:1:pos:R:3 pbc="T T T"
Br 4.026 -5.518 5.042
Hf 1.764 -4.104 5.326
Hf 1.957 -2.224 2.807
Br -0.305 -0.810 3.091
```

Computed properties:
The symmetry is Pmmn (59). The value obtained for the volume is 28.1 Å³/atom. The total magnetic moment is 0.0 Bohr magnetons per cell. The calculation puts the formation energy without anion corrections at -1.393 eV/f.u.

***

No. 2
This record from the Alexandria database describes a relaxed HfBr crystal. The functional is PBE-GGA.

```
8
Lattice="-2.789 -0.525 4.781 4.595 -1.924 2.469 1.421 5.190 1.399" Properties=species:S:1:pos:R:3 pbc="T T T"
Hf 2.297 -0.962 1.234
Hf 1.614 1.371 4.324
Br 0.903 -1.224 3.625
Hf 0.711 2.595 0.699
Br -0.684 2.332 3.090
Hf -1.394 -0.262 2.390
Br 0.000 0.000 0.000
Br 3.008 1.633 1.934
```

Computed properties:
The symmetry is Fm-3m (225). The value obtained for the volume is 21.5 Å³/atom. The total magnetic moment is 0.0 Bohr magnetons per cell. The calculation puts the formation energy without anion corrections at 1.155 eV/f.u.

***

- Among the records above, which one has the lowest volume?
  number 2